Entry 1:
DFT (PBE-GGA) results for a relaxed LiZnCu2Re crystal.

Computed properties:
Crystal system: tetragonal
Space group: P4/mmm (123)

a = 4.692 Å, b = 4.916 Å, c = 4.692 Å
α = 90.00°, β = 90.00°, γ = 90.00°
Sites, in units of the cell vectors:
Cu1 0.000 0.000 0.500
Cu2 0.500 0.000 0.000
Re1 0.000 0.000 0.000
Zn1 0.000 0.500 0.000
Li1 0.500 0.500 0.500


Entry 2:
DFT (PBE-GGA) results for a relaxed Li4CuRh crystal.

Computed properties:
Crystal system: orthorhombic
Space group: Cmcm (63)
Polymorph energy (0 for the lowest one): 0.0 kJ/mol of formula units

a = 4.264 Å, b = 5.136 Å, c = 7.811 Å
α = 70.80°, β = 90.00°, γ = 90.01°
Sites, in units of the cell vectors:
Li1 0.750 0.455 0.583
Li2 0.250 0.037 0.417
Li3 0.250 0.198 0.084
Li4 0.750 0.802 0.916
Li5 0.250 0.718 0.084
Li6 0.750 0.282 0.916
Li7 0.750 0.963 0.583
Li8 0.250 0.545 0.417
Cu1 0.250 0.623 0.753
Cu2 0.750 0.377 0.247
Rh1 0.250 0.126 0.749
Rh2 0.750 0.874 0.251


Entry 3:
DFT (PBE-GGA) results for a relaxed LiCu2Rh crystal.

Computed properties:
Crystal system: tetragonal
Space group: P4mm (99)

a = 2.996 Å, b = 2.996 Å, c = 5.577 Å
α = 90.00°, β = 90.00°, γ = 90.00°
Sites, in units of the cell vectors:
Cu1 0.500 0.500 0.250
Cu2 0.000 0.000 0.010
Li1 0.000 0.000 0.493
Rh1 0.500 0.500 0.747


Entry 4:
DFT (PBE-GGA) results for a relaxed Li2Cu6Rh crystal.

Computed properties:
Crystal system: monoclinic
Space group: C2/m (12)
Polymorph energy (0 for the lowest one): 90.4 kJ/mol of formula units

a = 6.544 Å, b = 4.543 Å, c = 4.543 Å
α = 66.86°, β = 72.37°, γ = 72.37°
Sites, in units of the cell vectors:
Cu1 0.535 0.236 0.236
Cu2 0.300 0.800 0.320
Cu3 0.700 0.680 0.200
Cu4 0.300 0.320 0.800
Cu5 0.465 0.764 0.764
Cu6 0.700 0.200 0.680
Rh1 0.000 0.000 0.000
Li1 0.084 0.335 0.335
Li2 0.916 0.665 0.665


Entry 5:
DFT (PBE-GGA) results for a relaxed Li6Cu4Rh crystal.

Computed properties:
Crystal system: tetragonal
Space group: I-42m (121)

a = 6.189 Å, b = 6.189 Å, c = 6.302 Å
α = 119.41°, β = 119.41°, γ = 90.00°
Sites, in units of the cell vectors:
Cu1 0.157 0.774 0.931
Cu2 0.843 0.843 0.069
Cu3 0.774 0.157 0.931
Cu4 0.226 0.226 0.069
Li1 0.000 0.500 0.000
Li2 0.500 0.000 0.000
Li3 0.086 0.393 0.479
Li4 0.914 0.914 0.521
Li5 0.607 0.607 0.521
Li6 0.393 0.086 0.479
Rh1 0.500 0.500 0.000


Entry 6:
DFT (PBE-GGA) results for a relaxed Li5CuRh crystal.

Computed properties:
Crystal system: monoclinic
Space group: C2/c (15)
Polymorph energy (0 for the lowest one): 0.0 kJ/mol of formula units

a = 4.639 Å, b = 4.639 Å, c = 10.080 Å
α = 89.91°, β = 89.91°, γ = 78.74°
Sites, in units of the cell vectors:
Li1 0.157 0.449 0.604
Li2 0.449 0.157 0.104
Li3 0.449 0.154 0.394
Li4 0.551 0.846 0.606
Li5 0.684 0.316 0.750
Li6 0.551 0.843 0.896
Li7 0.316 0.684 0.250
Li8 0.846 0.551 0.106
Li9 0.154 0.449 0.894
Li10 0.843 0.551 0.396
Rh1 0.000 0.000 0.000
Rh2 0.000 0.000 0.500
Cu1 0.091 0.909 0.750
Cu2 0.909 0.091 0.250


Entry 7:
DFT (PBE-GGA) results for a relaxed LiCu2Rh crystal.

Computed properties:
Crystal system: orthorhombic
Space group: Pmm2 (25)

a = 2.538 Å, b = 3.857 Å, c = 5.242 Å
α = 90.00°, β = 90.00°, γ = 90.00°
Sites, in units of the cell vectors:
Li1 0.000 0.000 0.499
Cu1 0.500 0.500 0.247
Cu2 0.000 0.000 0.003
Rh1 0.500 0.500 0.751


Entry 8:
DFT (PBE-GGA) results for a relaxed Li6Cu3Rh crystal.

Computed properties:
Crystal system: monoclinic
Space group: P2_1/c (14)
Polymorph energy (0 for the lowest one): 0.0 kJ/mol of formula units

a = 5.382 Å, b = 6.294 Å, c = 8.574 Å
α = 90.00°, β = 87.88°, γ = 90.00°
Sites, in units of the cell vectors:
Li1 0.493 0.841 0.296
Li2 0.253 0.829 0.571
Li3 0.753 0.671 0.071
Li4 0.519 0.655 0.792
Li5 0.019 0.845 0.292
Li6 0.981 0.155 0.708
Li7 0.747 0.171 0.429
Li8 0.993 0.659 0.796
Li9 0.507 0.159 0.704
Li10 0.247 0.329 0.929
Li11 0.007 0.341 0.204
Li12 0.481 0.345 0.208
Cu1 0.240 0.178 0.445
Cu2 0.740 0.322 0.945
Cu3 0.760 0.822 0.555
Cu4 0.260 0.678 0.055
Cu5 0.000 0.500 0.500
Cu6 0.500 0.000 0.000
Rh1 0.500 0.500 0.500
Rh2 0.000 0.000 0.000


Entry 9:
DFT (PBE-GGA) results for a relaxed LiCu2Rh crystal.

Computed properties:
Crystal system: monoclinic
Space group: Cm (8)

a = 4.563 Å, b = 4.563 Å, c = 4.535 Å
α = 80.11°, β = 80.11°, γ = 33.56°
Sites, in units of the cell vectors:
Cu1 0.002 0.002 0.003
Cu2 0.744 0.744 0.750
Rh1 0.255 0.255 0.243
Li1 0.498 0.498 0.504


Entry 10:
DFT (PBE-GGA) results for a relaxed Li6Cu3Rh crystal.

Computed properties:
Crystal system: trigonal
Space group: P-31m (162)
Polymorph energy (0 for the lowest one): 100.3 kJ/mol of formula units

a = 4.820 Å, b = 4.820 Å, c = 6.864 Å
α = 90.00°, β = 90.00°, γ = 120.00°
Sites, in units of the cell vectors:
Rh1 0.000 0.000 0.000
Cu1 0.333 0.667 0.500
Cu2 0.667 0.333 0.500
Cu3 0.000 0.000 0.500
Li1 0.593 0.593 0.805
Li2 0.407 0.407 0.195
Li3 0.407 0.000 0.805
Li4 0.000 0.593 0.195
Li5 0.593 0.000 0.195
Li6 0.000 0.407 0.805


Entry 11:
DFT (PBE-GGA) results for a relaxed LiCu2Rh crystal.

Computed properties:
Crystal system: orthorhombic
Space group: Cmmm (65)

a = 4.453 Å, b = 4.453 Å, c = 2.694 Å
α = 90.02°, β = 90.00°, γ = 107.11°
Sites, in units of the cell vectors:
Li1 0.500 0.000 0.500
Rh1 0.000 0.500 0.500
Cu1 0.000 0.000 0.000
Cu2 0.500 0.500 0.000


Entry 12:
DFT (PBE-GGA) results for a relaxed Li3Cu2Rh crystal.

Computed properties:
Crystal system: monoclinic
Space group: C2/c (15)

a = 4.865 Å, b = 4.865 Å, c = 6.631 Å
α = 83.40°, β = 83.40°, γ = 97.15°
Sites, in units of the cell vectors:
Cu1 0.634 0.112 0.624
Cu2 0.888 0.366 0.876
Cu3 0.112 0.634 0.124
Cu4 0.366 0.888 0.376
Rh1 0.097 0.903 0.750
Rh2 0.903 0.097 0.250
Li1 0.566 0.434 0.250
Li2 0.843 0.665 0.495
Li3 0.157 0.335 0.505
Li4 0.434 0.566 0.750
Li5 0.335 0.157 0.005
Li6 0.665 0.843 0.995


| no. | magnetic moment (μB/f.u.) | energy (eV for the cell shown) |
| --- | --- | --- |
| 1 | 0.00 | -18.650 |
| 2 | 0.00 | -39.449 |
| 3 | 0.05 | -17.373 |
| 4 | 0.00 | -35.298 |
| 5 | 0.00 | -33.788 |
| 6 | 0.00 | -42.679 |
| 7 | 0.00 | -17.470 |
| 8 | 0.00 | -61.897 |
| 9 | 0.40 | -17.649 |
| 10 | 0.00 | -29.909 |
| 11 | 0.00 | -17.878 |
| 12 | 0.00 | -43.327 |